A geometry-optimized Na4Cd4Pd structure. Source: Alexandria via LeMat-Bulk, functional PBE-GGA.

```
data_Na4Cd4Pd
_cell_length_a 7.972
_cell_length_b 7.972
_cell_length_c 7.972
_cell_angle_alpha 135.99
_cell_angle_beta 135.99
_cell_angle_gamma 64.00
_symmetry_space_group_name_H-M 'P 1'
_symmetry_Int_Tables_number 1
loop_
_symmetry_equiv_pos_as_xyz
'x,y,z'
loop_
_atom_site_label
_atom_site_type_symbol
_atom_site_fract_x
_atom_site_fract_y
_atom_site_fract_z
Na1 Na 0.000 0.500 0.500
Na2 Na 0.114 0.114 0.000
Na3 Na 0.500 0.000 0.500
Na4 Na 0.886 0.886 0.000
Cd1 Cd 0.147 0.486 0.000
Cd2 Cd 0.486 0.147 0.000
Cd3 Cd 0.514 0.514 0.660
Cd4 Cd 0.853 0.853 0.340
Pd1 Pd 0.500 0.500 0.000
```

Output
energy of formation from the pure elements = 0.28 eV/f.u.

A geometry-optimized BeNi2Au structure. Source: Alexandria via LeMat-Bulk, functional PBE-GGA.

```
data_BeNi2Au
_cell_length_a 2.666
_cell_length_b 2.666
_cell_length_c 23.854
_cell_angle_alpha 90.00
_cell_angle_beta 90.00
_cell_angle_gamma 120.00
_symmetry_space_group_name_H-M 'P 1'
_symmetry_Int_Tables_number 1
loop_
_symmetry_equiv_pos_as_xyz
'x,y,z'
loop_
_atom_site_label
_atom_site_type_symbol
_atom_site_fract_x
_atom_site_fract_y
_atom_site_fract_z
Be1 Be 0.000 0.000 0.000
Be2 Be 0.333 0.667 0.667
Be3 Be 0.667 0.333 0.333
Ni1 Ni 0.000 0.000 0.264
Ni2 Ni 0.000 0.000 0.736
Ni3 Ni 0.333 0.667 0.402
Ni4 Ni 0.333 0.667 0.931
Ni5 Ni 0.667 0.333 0.069
Ni6 Ni 0.667 0.333 0.598
Au1 Au 0.000 0.000 0.500
Au2 Au 0.333 0.667 0.167
Au3 Au 0.667 0.333 0.833
```

Output
energy of formation from the pure elements = 0.01 eV/f.u.

A geometry-optimized FeRuI6 structure. Source: Alexandria via LeMat-Bulk, functional PBE-GGA.

```
data_FeRuI6
_cell_length_a 6.917
_cell_length_b 13.077
_cell_length_c 6.905
_cell_angle_alpha 90.00
_cell_angle_beta 110.88
_cell_angle_gamma 90.00
_symmetry_space_group_name_H-M 'P 1'
_symmetry_Int_Tables_number 1
loop_
_symmetry_equiv_pos_as_xyz
'x,y,z'
loop_
_atom_site_label
_atom_site_type_symbol
_atom_site_fract_x
_atom_site_fract_y
_atom_site_fract_z
Fe1 Fe 0.000 0.000 0.000
Fe2 Fe 0.500 0.500 0.000
Ru1 Ru 0.000 0.500 0.500
Ru2 Ru 0.500 0.000 0.500
I1 I 0.237 0.500 0.260
I2 I 0.250 0.143 0.251
I3 I 0.250 0.357 0.749
I4 I 0.250 0.643 0.749
I5 I 0.250 0.857 0.251
I6 I 0.263 0.000 0.740
I7 I 0.737 0.000 0.260
I8 I 0.750 0.143 0.749
I9 I 0.750 0.357 0.251
I10 I 0.750 0.643 0.251
I11 I 0.750 0.857 0.749
I12 I 0.763 0.500 0.740
```

Output
raw formation energy = 5 kJ/mol of formula units

A geometry-optimized Zn2Ni15Rh2 structure. Source: Alexandria via LeMat-Bulk, functional PBE-GGA.

```
data_Zn2Ni15Rh2
_cell_length_a 6.223
_cell_length_b 6.223
_cell_length_c 6.223
_cell_angle_alpha 81.54
_cell_angle_beta 81.54
_cell_angle_gamma 81.54
_symmetry_space_group_name_H-M 'P 1'
_symmetry_Int_Tables_number 1
loop_
_symmetry_equiv_pos_as_xyz
'x,y,z'
loop_
_atom_site_label
_atom_site_type_symbol
_atom_site_fract_x
_atom_site_fract_y
_atom_site_fract_z
Zn1 Zn 0.139 0.139 0.139
Zn2 Zn 0.861 0.861 0.861
Ni1 Ni 0.000 0.500 0.500
Ni2 Ni 0.155 0.155 0.667
Ni3 Ni 0.155 0.667 0.155
Ni4 Ni 0.183 0.500 0.817
Ni5 Ni 0.183 0.817 0.500
Ni6 Ni 0.333 0.845 0.845
Ni7 Ni 0.500 0.000 0.500
Ni8 Ni 0.500 0.183 0.817
Ni9 Ni 0.500 0.500 0.000
Ni10 Ni 0.500 0.817 0.183
Ni11 Ni 0.667 0.155 0.155
Ni12 Ni 0.817 0.183 0.500
Ni13 Ni 0.817 0.500 0.183
Ni14 Ni 0.845 0.333 0.845
Ni15 Ni 0.845 0.845 0.333
Rh1 Rh 0.400 0.400 0.400
Rh2 Rh 0.600 0.600 0.600
```

Output
energy of formation from the pure elements = 2.19 eV/f.u.

A geometry-optimized CdPbN2F structure. Source: Alexandria via LeMat-Bulk, functional PBE-GGA.

```
data_CdPbN2F
_cell_length_a 4.353
_cell_length_b 4.353
_cell_length_c 4.419
_cell_angle_alpha 90.00
_cell_angle_beta 90.00
_cell_angle_gamma 90.00
_symmetry_space_group_name_H-M 'P 1'
_symmetry_Int_Tables_number 1
loop_
_symmetry_equiv_pos_as_xyz
'x,y,z'
loop_
_atom_site_label
_atom_site_type_symbol
_atom_site_fract_x
_atom_site_fract_y
_atom_site_fract_z
Cd1 Cd 0.000 0.000 0.000
Pb1 Pb 0.500 0.500 0.500
N1 N 0.000 0.500 0.500
N2 N 0.500 0.000 0.500
F1 F 0.500 0.500 0.000
```

Output
raw formation energy = 365 kJ/mol of formula units

A geometry-optimized CaYSb2Te structure. Source: Alexandria via LeMat-Bulk, functional PBE-GGA.

```
data_CaYSb2Te
_cell_length_a 5.758
_cell_length_b 5.758
_cell_length_c 5.821
_cell_angle_alpha 90.00
_cell_angle_beta 90.00
_cell_angle_gamma 90.00
_symmetry_space_group_name_H-M 'P 1'
_symmetry_Int_Tables_number 1
loop_
_symmetry_equiv_pos_as_xyz
'x,y,z'
loop_
_atom_site_label
_atom_site_type_symbol
_atom_site_fract_x
_atom_site_fract_y
_atom_site_fract_z
Ca1 Ca 0.000 0.000 0.000
Y1 Y 0.500 0.500 0.500
Sb1 Sb 0.000 0.500 0.500
Sb2 Sb 0.500 0.000 0.500
Te1 Te 0.500 0.500 0.000
```

Output
raw formation energy = -151 kJ/mol of formula units

A geometry-optimized La2NdSm4Dy structure. Source: Alexandria via LeMat-Bulk, functional PBE-GGA.

```
data_La2NdSm4Dy
_cell_length_a 5.165
_cell_length_b 5.179
_cell_length_c 10.342
_cell_angle_alpha 90.00
_cell_angle_beta 90.10
_cell_angle_gamma 90.00
_symmetry_space_group_name_H-M 'P 1'
_symmetry_Int_Tables_number 1
loop_
_symmetry_equiv_pos_as_xyz
'x,y,z'
loop_
_atom_site_label
_atom_site_type_symbol
_atom_site_fract_x
_atom_site_fract_y
_atom_site_fract_z
La1 La 0.000 0.000 0.000
La2 La 0.500 0.500 0.500
Nd1 Nd 0.000 0.000 0.500
Sm1 Sm 0.000 0.500 0.248
Sm2 Sm 0.000 0.500 0.752
Sm3 Sm 0.500 0.000 0.248
Sm4 Sm 0.500 0.000 0.752
Dy1 Dy 0.500 0.500 0.000
```

Output
energy of formation from the pure elements = 0.18 eV/f.u.

A geometry-optimized TiMnMo3 structure. Source: Alexandria via LeMat-Bulk, functional PBE-GGA.

```
data_TiMnMo3
_cell_length_a 4.459
_cell_length_b 4.459
_cell_length_c 4.459
_cell_angle_alpha 90.00
_cell_angle_beta 90.00
_cell_angle_gamma 90.00
_symmetry_space_group_name_H-M 'P 1'
_symmetry_Int_Tables_number 1
loop_
_symmetry_equiv_pos_as_xyz
'x,y,z'
loop_
_atom_site_label
_atom_site_type_symbol
_atom_site_fract_x
_atom_site_fract_y
_atom_site_fract_z
Ti1 Ti 0.000 0.000 0.000
Mn1 Mn 0.500 0.500 0.500
Mo1 Mo 0.000 0.500 0.500
Mo2 Mo 0.500 0.000 0.500
Mo3 Mo 0.500 0.500 0.000
```

Output
energy of formation from the pure elements = 4.68 eV/f.u.